A relaxed structure of FeSn2HgF, computed with PBE with a Hubbard U.

Cell: 4.774 4.774 5.147 Å, 90.00 90.00 90.00°
Atoms (fractional coordinates):
Fe 0.000 0.000 0.000
Sn 0.000 0.500 0.500
Sn 0.500 0.000 0.500
Hg 0.500 0.500 0.000
F 0.500 0.500 0.500

symmetry: No. 123
VASP energy: -15.0 eV per cell
spin magnetization: 3.47 μB/f.u.
crystal system: tetragonal